[1]
{
  "formula": "SrMg2Cu",
  "functional": "PBE",
  "state": "relaxed",
  "e_tot_ev_per_atom": -2.27,
  "delta_e_f_ev_per_fu": -0.10,
  "lattice": [[-1.305, 1.070, -4.409], [1.582, -2.568, -3.632], [-4.388, -3.948, -2.185]],
  "species": ["Sr", "Mg", "Mg", "Cu"],
  "frac_coords": [[0.505, 0.505, 0.487], [0.705, 0.705, 0.884], [0.975, 0.975, 0.073], [0.314, 0.314, 0.056]]
}

=====

[2]
{
  "formula": "PmPr2Er3Tm6",
  "functional": "PBE",
  "state": "relaxed",
  "e_tot_ev_per_atom": -4.54,
  "delta_e_f_ev_per_fu": 0.32,
  "lattice": [[-0.137, -6.054, 1.055], [3.605, 3.629, 3.409], [-9.754, 2.307, 6.012]],
  "species": ["Tm", "Tm", "Tm", "Tm", "Tm", "Tm", "Pm", "Er", "Er", "Er", "Pr", "Pr"],
  "frac_coords": [[0.753, 0.753, 0.255], [0.914, 0.581, 0.745], [0.247, 0.247, 0.745], [0.419, 0.086, 0.255], [0.086, 0.419, 0.255], [0.581, 0.914, 0.745], [0.000, 0.000, 0.000], [0.833, 0.167, 0.500], [0.167, 0.833, 0.500], [0.500, 0.500, 0.500], [0.667, 0.333, 0.000], [0.333, 0.667, 0.000]]
}

=====

| no. | ρ (g/cm³) |
| --- | --- |
| 1 | 3.034 |
| 2 | 8.562 |